Record 1
# TbFeReSi3, relaxed, DFT PBE-GGA
data_TbFeReSi3
_chemical_formula_sum 'Tb4 Fe4 Re4 Si12'
_space_group_name_H-M_alt 'C m c m'
_space_group_IT_number 63
_space_group_name_Hall '-C 2c 2'
_cell_length_a 5.9912
_cell_length_b 11.3717
_cell_length_c 6.2766
_cell_angle_alpha 90.00
_cell_angle_beta 90.00
_cell_angle_gamma 90.00
loop_
_atom_site_label
_atom_site_type_symbol
_atom_site_fract_x
_atom_site_fract_y
_atom_site_fract_z
Tb1 Tb 0.0000 0.2257 0.2500
Fe1 Fe 0.0000 0.1000 0.7500
Re1 Re 0.0000 0.4810 0.7500
Si1 Si 0.0000 0.2841 0.7500
Si2 Si 0.1960 0.0000 0.0000
# - formation energy from raw total energies (eV/atom) = -0.236
# - total magnetization (μB per atom) = 0.0000
# - VASP energy (eV per atom) = -7.205



Record 2
# CaHf, relaxed, DFT PBE-GGA
data_CaHf
_chemical_formula_sum 'Ca6 Hf6'
_space_group_name_H-M_alt 'P m -3 n'
_space_group_IT_number 223
_space_group_name_Hall '-P 4n 2 3'
_cell_length_a 9.2346
_cell_length_b 9.2346
_cell_length_c 9.2346
_cell_angle_alpha 90.00
_cell_angle_beta 90.00
_cell_angle_gamma 90.00
loop_
_atom_site_label
_atom_site_type_symbol
_atom_site_fract_x
_atom_site_fract_y
_atom_site_fract_z
Ca1 Ca 0.0000 0.2500 0.5000
Hf1 Hf 0.0000 0.5000 0.2500
# - total magnetization (μB per atom) = 1.8932
# - VASP energy (eV per atom) = -3.322
# - polymorph energy (0 for the lowest one) (eV per formula unit) = 4.54



Record 3
# GaSe2F, relaxed, DFT PBE-GGA
data_GaSe2F
_chemical_formula_sum 'Ga3 Se6 F3'
_space_group_name_H-M_alt 'R -3 m'
_space_group_IT_number 166
_space_group_name_Hall '-R 3 2"'
_cell_length_a 2.9246
_cell_length_b 2.9246
_cell_length_c 27.5659
_cell_angle_alpha 90.00
_cell_angle_beta 90.00
_cell_angle_gamma 120.00
loop_
_atom_site_label
_atom_site_type_symbol
_atom_site_fract_x
_atom_site_fract_y
_atom_site_fract_z
Ga1 Ga 0.0000 0.0000 0.0000
Se1 Se 0.0000 0.0000 0.0930
F1 F 0.0000 0.0000 0.5000
# - formation energy from raw total energies (eV/atom) = -0.107
# - total magnetization (μB per atom) = 0.0000
# - VASP energy (eV per atom) = -3.074
# - polymorph energy (0 for the lowest one) (eV per formula unit) = 1.64



Record 4
# LaHg2Mo, relaxed, DFT PBE-GGA
data_LaHg2Mo
_chemical_formula_sum 'La4 Hg8 Mo4'
_space_group_name_H-M_alt 'I -4 2 d'
_space_group_IT_number 122
_space_group_name_Hall 'I -4 2bw'
_cell_length_a 4.3268
_cell_length_b 4.3268
_cell_length_c 21.5331
_cell_angle_alpha 90.00
_cell_angle_beta 90.00
_cell_angle_gamma 90.00
loop_
_atom_site_label
_atom_site_type_symbol
_atom_site_fract_x
_atom_site_fract_y
_atom_site_fract_z
La1 La 0.0000 0.0000 0.0000
Hg1 Hg 0.2101 0.2500 0.6250
Mo1 Mo 0.0000 0.0000 0.5000
# - total magnetization (μB per atom) = 0.0001
# - VASP energy (eV per atom) = -3.564
# - polymorph energy (0 for the lowest one) (eV per formula unit) = 1.13